A relaxed structure of Si3WN. Source: the Alexandria database, functional PBE.

The structure belongs to space group Pm-3m (No. 221); the cell edges are 3.957, 3.957 and 3.957 Å and the angles 90.00°, 90.00° and 90.00°. Symmetry generates all atoms from Si at (0.000, 0.000, 0.500), W at (0.500, 0.500, 0.500) and N at (0.000, 0.000, 0.000).

Its raw total energy is -6.914 eV per atom. The excess energy over the best structure of this formula in the dataset is 0.00 eV per formula unit. The uncorrected formation energy comes out at 596 meV/atom.

A relaxed structure of HoTm2In. Source: the Alexandria database, functional PBE.

The structure belongs to space group R3m (No. 160, hexagonal axes); the cell edges are 3.5226, 3.5226 and 32.5292 Å and the angles 90.00°, 90.00° and 120.00°. Symmetry generates all atoms from Ho at (0.0000, 0.0000, 0.0000), Tm at (0.0000, 0.0000, 0.5794), Tm at (0.0000, 0.0000, 0.7541) and In at (0.0000, 0.0000, 0.1666).

Its raw total energy is -4.212 eV per atom. The excess energy over the best structure of this formula in the dataset is 0.45 eV per formula unit. As for the energy relative to the elements: -0.147 eV per atom.